[1]
# TiSiTe3 PBE-GGA relaxed
# Energy relative to the elements, uncorrected: 0.53 eV per atom
data_TiSiTe3
_chemical_formula_sum 'Ti1 Si1 Te3'
_symmetry_space_group_name_H-M 'P m -3 m'
_symmetry_Int_Tables_number 221
_symmetry_space_group_name_Hall '-P 4 2 3'
_cell_length_a 5.222
_cell_length_b 5.222
_cell_length_c 5.222
_cell_angle_alpha 90.00
_cell_angle_beta 90.00
_cell_angle_gamma 90.00
loop_
_atom_site_label
_atom_site_type_symbol
_atom_site_fract_x
_atom_site_fract_y
_atom_site_fract_z
_atom_site_occupancy
Ti1 Ti 0.000 0.000 0.000 1
Si1 Si 0.500 0.500 0.500 1
Te1 Te 0.000 0.500 0.500 1

[2]
# TiSiTe3 PBE-GGA relaxed
# Energy relative to the elements, uncorrected: 0.35 eV per atom
data_TiSiTe3
_chemical_formula_sum 'Ti1 Si1 Te3'
_symmetry_space_group_name_H-M 'P m -3 m'
_symmetry_Int_Tables_number 221
_symmetry_space_group_name_Hall '-P 4 2 3'
_cell_length_a 5.315
_cell_length_b 5.315
_cell_length_c 5.315
_cell_angle_alpha 90.00
_cell_angle_beta 90.00
_cell_angle_gamma 90.00
loop_
_atom_site_label
_atom_site_type_symbol
_atom_site_fract_x
_atom_site_fract_y
_atom_site_fract_z
_atom_site_occupancy
Ti1 Ti 0.000 0.000 0.000 1
Si1 Si 0.500 0.500 0.500 1
Te1 Te 0.000 0.000 0.500 1

[3]
# TiSi2Te8 PBE-GGA relaxed
# Energy relative to the elements, uncorrected: -0.08 eV per atom
data_TiSi2Te8
_chemical_formula_sum 'Ti2 Si4 Te16'
_symmetry_space_group_name_H-M 'C 1 2/m 1'
_symmetry_Int_Tables_number 12
_cell_length_a 12.425
_cell_length_b 9.466
_cell_length_c 6.150
_cell_angle_alpha 90.00
_cell_angle_beta 96.36
_cell_angle_gamma 90.00
loop_
_symmetry_equiv_pos_as_xyz
'x,y,z'
'-x,-y,-z'
'-x,y,-z'
'x,-y,z'
'x+1/2,y+1/2,z'
'-x+1/2,-y+1/2,-z'
'-x+1/2,y+1/2,-z'
'x+1/2,-y+1/2,z'
loop_
_atom_site_label
_atom_site_type_symbol
_atom_site_fract_x
_atom_site_fract_y
_atom_site_fract_z
_atom_site_occupancy
Ti1 Ti 0.000 0.000 0.000 1
Si1 Si 0.187 0.000 0.602 1
Te1 Te 0.068 0.209 0.714 1
Te2 Te 0.126 0.500 0.208 1
Te3 Te 0.206 0.000 0.189 1

[4]
# TiSi3Te PBE-GGA relaxed
# Energy relative to the elements, uncorrected: 1.57 eV per atom
# Energy above the lowest structure with this stoichiometry: 4.515 eV per formula unit
data_TiSi3Te
_chemical_formula_sum 'Ti1 Si3 Te1'
_symmetry_space_group_name_H-M 'P m -3 m'
_symmetry_Int_Tables_number 221
_symmetry_space_group_name_Hall '-P 4 2 3'
_cell_length_a 5.041
_cell_length_b 5.041
_cell_length_c 5.041
_cell_angle_alpha 90.00
_cell_angle_beta 90.00
_cell_angle_gamma 90.00
loop_
_atom_site_label
_atom_site_type_symbol
_atom_site_fract_x
_atom_site_fract_y
_atom_site_fract_z
_atom_site_occupancy
Ti1 Ti 0.000 0.000 0.000 1
Si1 Si 0.000 0.500 0.500 1
Te1 Te 0.500 0.500 0.500 1

energy relative to the elements, uncorrected of number 1 (TiSiTe3)? 0.53 eV per atom